(1)
Here is crystalline Sr3LiIn8 at its relaxed geometry from Alexandria. Energies are from PBE.

Results
* energy of formation: -0.32 eV per atom
* total magnetic moment: 0.000 μB/cell
* ρ: 5.7 g/cm3
* total energy: -2.7287 eV/atom
* space group: R3m, No. 160
* N(E_F): 3.64 states/eV per cell

Cell and atoms, written as extended XYZ:
```
12
Lattice="6.222 0.000 0.000 3.111 5.388 0.000 3.111 1.796 10.398" Properties=species:S:1:pos:R:3 pbc="T T T"
Sr 6.222 3.592 9.089
Sr 9.333 5.388 0.130
Sr 6.222 3.592 5.103
Li 9.333 5.388 3.860
In 7.778 2.694 1.988
In 7.782 6.284 7.116
In 4.666 2.694 1.988
In 10.884 6.284 7.116
In 3.111 1.796 4.540
In 9.333 5.388 9.755
In 6.222 5.389 1.988
In 9.333 3.598 7.116
```

(2)
Here is crystalline Ba2HgPtPb6 at its relaxed geometry from Alexandria. Energies are from PBE.

Results
* energy of formation: -0.22 eV per atom
* total magnetic moment: 0.000 μB/cell
* ρ: 9.0 g/cm3
* total energy: -3.4635 eV/atom
* space group: R-3m, No. 166
* N(E_F): 9.84 states/eV per cell

Cell and atoms, written as extended XYZ:
```
20
Lattice="-2.141 5.973 3.794 -1.509 -0.549 7.217 12.963 4.859 6.867" Properties=species:S:1:pos:R:3 pbc="T T T"
Ba 1.303 6.490 12.127
Ba 8.010 3.793 5.750
Ba 8.284 7.992 13.701
Ba 1.030 2.291 4.176
Hg 1.429 4.447 8.211
Hg 7.884 5.836 9.666
Pt 0.000 0.000 0.000
Pt 4.657 5.142 8.939
Pb 2.735 7.177 8.692
Pb 3.089 3.517 10.612
Pb 3.936 3.825 6.563
Pb 6.579 3.106 9.186
Pb 6.224 6.766 7.265
Pb 5.378 6.458 11.314
Pb 9.922 8.225 10.274
Pb 10.204 5.310 11.804
Pb 10.879 5.556 8.579
Pb -0.609 2.058 7.603
Pb -0.891 4.973 6.074
Pb -1.565 4.728 9.299
```

(3)
Here is crystalline PdRu3Br at its relaxed geometry from Alexandria. Energies are from PBE.

Results
* relative energy among the computed polymorphs: 399 meV/atom
* total magnetic moment: 8.080 μB/cell
* formation energy (no corrections): 1969 meV/atom
* ρ: 7.0 g/cm3
* total energy: -4.9700 eV/atom
* space group: Pm-3m, No. 221
* N(E_F): 4.12 states/eV per cell

Cell and atoms, written as extended XYZ:
```
5
Lattice="4.880 0.000 0.000 0.000 4.880 0.000 0.000 0.000 4.880" Properties=species:S:1:pos:R:3 pbc="T T T"
Ru 0.000 2.440 0.000
Ru 0.000 0.000 2.440
Ru 2.440 0.000 0.000
Br 2.440 2.440 2.440
Pd 0.000 0.000 0.000
```

(4)
Here is crystalline Cs2NbCl at its relaxed geometry from Alexandria. Energies are from PBE.

Results
* total magnetic moment: 5.837 μB/cell
* formation energy (no corrections): 453 meV/atom
* ρ: 3.8 g/cm3
* total energy: -2.9527 eV/atom
* space group: Fm-3m, No. 225
* N(E_F): 7.35 states/eV per cell

Cell and atoms, written as extended XYZ:
```
4
Lattice="0.000 4.429 4.429 4.429 0.000 4.429 4.429 4.429 0.000" Properties=species:S:1:pos:R:3 pbc="T T T"
Cs 2.215 2.215 2.215
Cs 6.644 6.644 6.644
Nb 4.429 4.429 4.429
Cl 0.000 0.000 0.000
```

(5)
Here is crystalline HoTh7Sc2 at its relaxed geometry from Alexandria. Energies are from PBE.

Results
* energy of formation: 0.05 eV per atom
* total magnetic moment: 0.000 μB/cell
* ρ: 10.2 g/cm3
* total energy: -6.8630 eV/atom
* space group: P-1, No. 2
* N(E_F): 17.28 states/eV per cell

Cell and atoms, written as extended XYZ:
```
10
Lattice="-3.426 -0.257 3.594 0.687 -4.655 7.213 2.390 10.241 -0.443" Properties=species:S:1:pos:R:3 pbc="T T T"
Ho 0.000 0.000 0.000
Th 1.576 2.833 5.144
Th -1.924 2.496 5.220
Th -0.417 5.189 6.844
Th 0.068 0.141 3.519
Th -1.284 -2.252 8.941
Th 0.936 7.581 1.423
Th -1.369 -2.456 5.404
Sc 0.137 0.240 7.032
Sc -0.485 5.089 3.332
```

(6)
Here is crystalline HgH at its relaxed geometry from Alexandria. Energies are from PBE.

Results
* relative energy among the computed polymorphs: 368 meV/atom
* total magnetic moment: 0.000 μB/cell
* ρ: 9.5 g/cm3
* total energy: -1.4371 eV/atom
* space group: P4_2/mnm, No. 136
* N(E_F): 1.48 states/eV per cell

Cell and atoms, written as extended XYZ:
```
8
Lattice="-2.552 5.448 1.082 -5.386 -2.719 0.985 0.838 -0.334 3.659" Properties=species:S:1:pos:R:3 pbc="T T T"
Hg -2.519 0.866 0.656
Hg -2.650 3.789 2.894
Hg -4.449 -1.394 2.832
Hg -5.418 1.863 1.411
H -4.841 -1.149 1.004
H -5.075 1.722 3.261
H -2.024 0.673 2.466
H -3.097 3.878 1.064
```

(7)
Here is crystalline Ti2SbAu at its relaxed geometry from Alexandria. Energies are from PBE.

Results
* total magnetic moment: 0.000 μB/cell
* formation energy (no corrections): -305 meV/atom
* ρ: 9.3 g/cm3
* total energy: -6.1028 eV/atom
* space group: P4/mmm, No. 123
* N(E_F): 4.01 states/eV per cell

Cell and atoms, written as extended XYZ:
```
4
Lattice="-1.290 3.298 -0.398 -0.945 -0.773 -3.348 -5.209 -1.810 1.889" Properties=species:S:1:pos:R:3 pbc="T T T"
Sb -1.118 1.262 -1.873
Au -3.722 0.357 -0.928
Ti -3.921 -1.362 1.422
Ti -1.288 -0.447 0.467
```

(8)
Here is crystalline Na2GeSe4 at its relaxed geometry from Alexandria. Energies are from PBE.

Results
* relative energy among the computed polymorphs: 0 meV/atom
* total magnetic moment: 0.000 μB/cell
* formation energy (no corrections): -350 meV/atom
* ρ: 3.9 g/cm3
* total energy: -3.3772 eV/atom
* space group: Fmmm, No. 69
* N(E_F): 2.75 states/eV per cell

Cell and atoms, written as extended XYZ:
```
7
Lattice="6.028 -0.151 0.000 -0.245 6.024 0.000 -2.891 -2.937 5.069" Properties=species:S:1:pos:R:3 pbc="T T T"
Na -0.122 3.012 2.535
Na 3.014 -0.076 2.535
Ge 6.027 -0.150 0.000
Se 3.989 4.054 0.000
Se 1.792 1.822 0.000
Se 0.001 -0.001 2.469
Se 2.892 2.936 2.600
```

(9)
Here is crystalline NaAl2ZnO at its relaxed geometry from Alexandria. Energies are from PBE.

Results
* total magnetic moment: 0.002 μB/cell
* formation energy (no corrections): 513 meV/atom
* ρ: 2.4 g/cm3
* total energy: -2.4948 eV/atom
* space group: P4/mmm, No. 123
* N(E_F): 4.84 states/eV per cell

Cell and atoms, written as extended XYZ:
```
5
Lattice="4.572 0.000 0.000 0.000 5.216 0.000 0.000 0.000 4.572" Properties=species:S:1:pos:R:3 pbc="T T T"
Na 0.000 2.608 0.000
Zn 0.000 0.000 0.000
Al 0.000 0.000 2.286
Al 2.286 0.000 0.000
O 2.286 2.608 2.286
```

(10)
Here is crystalline Ho8Mg2Ga at its relaxed geometry from Alexandria. Energies are from PBE.

Results
* energy of formation: -0.05 eV per atom
* total magnetic moment: 0.000 μB/cell
* ρ: 7.6 g/cm3
* total energy: -3.9419 eV/atom
* space group: C2/m, No. 12
* N(E_F): 12.47 states/eV per cell

Cell and atoms, written as extended XYZ:
```
11
Lattice="-4.042 0.198 -3.409 4.122 -2.472 -5.030 -1.718 -7.145 5.728" Properties=species:S:1:pos:R:3 pbc="T T T"
Ho -0.749 -7.089 0.477
Ho 0.740 -4.500 -5.245
Ho -1.327 -5.954 -2.878
Ho -4.677 -7.251 1.018
Ho -0.311 -3.465 0.167
Ho -2.378 -4.919 2.534
Ho -0.888 -2.330 -3.188
Ho 3.040 -2.168 -3.729
Mg -3.182 -5.057 -0.627
Mg 1.545 -4.362 -2.084
Ga -2.021 0.099 -1.705
```

(11)
Here is crystalline CePuAlZn at its relaxed geometry from Alexandria. Energies are from PBE.

Results
* relative energy among the computed polymorphs: 0 meV/atom
* energy of formation: -0.17 eV per atom
* total magnetic moment: 6.576 μB/cell
* ρ: 9.1 g/cm3
* total energy: -6.4891 eV/atom
* space group: I-4m2, No. 119
* N(E_F): 6.55 states/eV per cell

Cell and atoms, written as extended XYZ:
```
4
Lattice="-3.730 2.054 -1.048 -1.927 -3.872 -0.728 1.526 0.746 5.206" Properties=species:S:1:pos:R:3 pbc="T T T"
Ce 0.000 0.000 0.000
Pu -2.517 0.946 1.635
Al -2.829 -0.909 -0.888
Zn -1.615 -2.017 1.795
```

(12)
Here is crystalline Ba2CaZr at its relaxed geometry from Alexandria. Energies are from PBE.

Results
* relative energy among the computed polymorphs: 331 meV/atom
* energy of formation: 0.73 eV per atom
* total magnetic moment: 4.143 μB/cell
* ρ: 3.9 g/cm3
* total energy: -2.8644 eV/atom
* space group: I-42d, No. 122
* N(E_F): 7.37 states/eV per cell

Cell and atoms, written as extended XYZ:
```
8
Lattice="9.718 0.000 0.000 0.000 9.718 0.000 4.859 4.859 3.618" Properties=species:S:1:pos:R:3 pbc="T T T"
Ca 4.859 4.859 0.000
Ca 4.859 9.718 1.809
Ba 7.480 2.429 0.904
Ba 2.238 7.288 0.904
Ba 7.288 7.097 2.713
Ba 12.147 12.338 2.713
Zr 0.000 0.000 0.000
Zr 9.718 4.859 1.809
```

- Look up the N(E_F) of the fifth one.
  17.28 states/eV per cell

- What is the ρ in the ninth record?
  2.4 g/cm3